[1]
RhPbW2 (GGA-PBEsol, optimized geometry); ρ = 16.81 g/cm³; DFT formation energy = 0.4826 eV per atom; calculated total energy = -9.46 eV/atom
1.0
-1.826 0.127 -2.425
3.303 -2.009 -2.592
-1.552 -3.890 2.867
Pb Rh W
1 1 2
Direct
0.500 0.000 0.000
0.000 0.500 0.000
0.258 0.273 0.515
0.742 0.727 0.485

[2]
RhPbW2 (GGA-PBEsol, optimized geometry); ρ = 16.46 g/cm³; DFT formation energy = 0.6582 eV per atom; calculated total energy = -9.28 eV/atom
1.0
2.899 0.000 0.000
1.449 2.510 0.000
1.449 0.837 9.396
Pb Rh W
1 1 2
Direct
0.500 0.500 0.500
0.000 0.000 0.000
0.258 0.258 0.226
0.742 0.742 0.774

[3]
RhPb2W (GGA-PBEsol, optimized geometry); ρ = 14.96 g/cm³; DFT formation energy = 0.8394 eV per atom; calculated total energy = -6.65 eV/atom
1.0
-1.196 2.420 1.659
-3.806 -3.273 2.030
5.236 -0.601 1.626
Pb Rh W
2 1 1
Direct
0.763 0.763 0.526
0.237 0.237 0.474
0.500 0.000 0.000
0.000 0.500 0.000